Density functional theory data (GGA+U) for a relaxed Na3Ni2MoO6 crystal.

Cell lengths 5.342, 5.342, 5.677 Å; angles 99.14, 99.14, 119.79 degrees
Fractional coordinates of all 12 atoms:
Na: 0.000 0.000 0.000
Na: 0.328 0.672 0.000
Na: 0.672 0.328 0.000
Ni: 0.164 0.836 0.500
Ni: 0.836 0.164 0.500
Mo: 0.500 0.500 0.500
O: 0.115 0.433 0.297
O: 0.249 0.249 0.707
O: 0.433 0.115 0.297
O: 0.567 0.885 0.703
O: 0.751 0.751 0.293
O: 0.885 0.567 0.703

Values from the calculation:
total moment	5.0	μB per cell
DFT total energy	-5.33	eV per atom
space group	C2/m (12)